Record 1
Computed, not measured: a relaxed structure of Tb2Ce2ZnGa4 at the PBE-GGA level of DFT.

Cell: 6.5822 6.5822 6.5822 Å, 100.63 114.06 114.06°
Sites, in units of the cell vectors:
Tb (0.5000, 0.7500, 0.2500)
Tb (0.5000, 0.2500, 0.7500)
Ce (0.0000, 0.6633, 0.6633)
Ce (0.0000, 0.3367, 0.3367)
Zn (0.0000, 0.0000, 0.0000)
Ga (0.0000, 0.7645, 0.2355)
Ga (0.5291, 0.7645, 0.7645)
Ga (0.0000, 0.2355, 0.7645)
Ga (0.4709, 0.2355, 0.2355)

Energy of formation, eV per atom: -0.25
Crystal system: tetragonal
SG: I4/mmm, No. 139
Total magnetization, μB per atom: 0.222

Record 2
Computed, not measured: a relaxed structure of TbCe2Zn2Ga2 at the PBE-GGA level of DFT.

Cell: 4.3388 4.3388 9.4072 Å, 76.67 76.67 60.00°
Sites, in units of the cell vectors:
Tb (0.0000, 0.0000, 0.0000)
Ce (0.1417, 0.1417, 0.5748)
Ce (0.8583, 0.8583, 0.4252)
Zn (0.5972, 0.5972, 0.2083)
Zn (0.4028, 0.4028, 0.7917)
Ga (0.7362, 0.7362, 0.7915)
Ga (0.2638, 0.2638, 0.2085)

Energy of formation, eV per atom: -0.43
Crystal system: trigonal
SG: R-3m, No. 166
Total magnetization, μB per atom: 0.202

Record 3
Computed, not measured: a relaxed structure of TbCeZnGa at the PBE-GGA level of DFT.

Cell: 5.1027 5.1027 5.1027 Å, 60.00 60.00 60.00°
Sites, in units of the cell vectors:
Zn (0.7500, 0.7500, 0.7500)
Tb (0.0000, 0.0000, 0.0000)
Ga (0.2500, 0.2500, 0.2500)
Ce (0.5000, 0.5000, 0.5000)

Energy of formation, eV per atom: -0.41
Crystal system: cubic
SG: F-43m, No. 216
Total magnetization, μB per atom: 0.118

Record 4
Computed, not measured: a relaxed structure of Tb2CeZn2Ga2 at the PBE-GGA level of DFT.

Cell: 4.4675 4.4675 9.6626 Å, 76.63 76.63 60.00°
Sites, in units of the cell vectors:
Tb (0.1272, 0.1272, 0.6185)
Tb (0.8728, 0.8728, 0.3815)
Ce (0.0000, 0.0000, 0.0000)
Zn (0.6002, 0.6002, 0.1992)
Zn (0.3998, 0.3998, 0.8008)
Ga (0.7391, 0.7391, 0.7827)
Ga (0.2609, 0.2609, 0.2173)

Energy of formation, eV per atom: -0.37
Crystal system: trigonal
SG: R-3m, No. 166
Total magnetization, μB per atom: 0.155

Record 5
Computed, not measured: a relaxed structure of TbCeZn2Ga2 at the PBE-GGA level of DFT.

Cell: 4.4343 4.4343 7.4333 Å, 90.00 90.00 120.00°
Sites, in units of the cell vectors:
Tb (0.0000, 0.0000, 0.5000)
Ce (0.0000, 0.0000, 0.0000)
Zn (0.6667, 0.3333, 0.7353)
Zn (0.3333, 0.6667, 0.2647)
Ga (0.6667, 0.3333, 0.2534)
Ga (0.3333, 0.6667, 0.7466)

Energy of formation, eV per atom: -0.51
Crystal system: trigonal
SG: P-3m1, No. 164
Total magnetization, μB per atom: 0.142

Record 6
Computed, not measured: a relaxed structure of CeGa2Tc at the PBE-GGA level of DFT.

Cell: 3.0016 3.0016 9.5098 Å, 80.92 80.92 60.00°
Sites, in units of the cell vectors:
Ga (0.7374, 0.7374, 0.7878)
Ga (0.2626, 0.2626, 0.2122)
Tc (0.0000, 0.0000, 0.0000)
Ce (0.5000, 0.5000, 0.5000)

Energy of formation, eV per atom: -0.11
Crystal system: trigonal
SG: R-3m, No. 166
Excess energy over the best structure of this formula in the dataset, kJ/mol of formula units: 152
Total magnetization, μB per atom: 0.000

Record 7
Computed, not measured: a relaxed structure of CeGa3Tc at the PBE-GGA level of DFT.

Cell: 4.7823 4.7823 4.7823 Å, 90.00 90.00 90.00°
Sites, in units of the cell vectors:
Ga (0.0000, 0.5000, 0.0000)
Ga (0.0000, 0.0000, 0.5000)
Ga (0.5000, 0.0000, 0.0000)
Tc (0.0000, 0.0000, 0.0000)
Ce (0.5000, 0.5000, 0.5000)

Energy of formation, eV per atom: -0.29
Crystal system: cubic
SG: Pm-3m, No. 221
Excess energy over the best structure of this formula in the dataset, kJ/mol of formula units: 45
Total magnetization, μB per atom: 0.225

Record 8
Computed, not measured: a relaxed structure of Ce3Ga7Tc2 at the PBE-GGA level of DFT.

Cell: 5.4208 5.4208 9.5562 Å, 73.52 73.52 60.00°
Sites, in units of the cell vectors:
Ce (0.0000, 0.0000, 0.0000)
Ce (0.8481, 0.8481, 0.4556)
Ce (0.1519, 0.1519, 0.5444)
Ga (0.5000, 0.5000, 0.5000)
Ga (0.9295, 0.4182, 0.2341)
Ga (0.4182, 0.9295, 0.2341)
Ga (0.4182, 0.4182, 0.2341)
Ga (0.0705, 0.5818, 0.7659)
Ga (0.5818, 0.5818, 0.7659)
Ga (0.5818, 0.0705, 0.7659)
Tc (0.6639, 0.6639, 0.0084)
Tc (0.3361, 0.3361, 0.9916)

Energy of formation, eV per atom: -0.37
Crystal system: trigonal
SG: R-3m, No. 166
Total magnetization, μB per atom: 0.160

Record 9
Computed, not measured: a relaxed structure of CeGa2Tc at the PBE-GGA level of DFT.

Cell: 4.6399 5.0865 6.7023 Å, 90.00 90.00 108.40°
Sites, in units of the cell vectors:
Ce (0.0332, 0.1326, 0.2500)
Ce (0.9668, 0.8674, 0.7500)
Ga (0.4046, 0.7184, 0.0522)
Ga (0.4046, 0.7184, 0.4478)
Ga (0.5954, 0.2816, 0.9478)
Ga (0.5954, 0.2816, 0.5522)
Tc (0.8776, 0.6271, 0.2500)
Tc (0.1224, 0.3729, 0.7500)

Energy of formation, eV per atom: -0.50
Crystal system: monoclinic
SG: P2_1/m, No. 11
Excess energy over the best structure of this formula in the dataset, kJ/mol of formula units: 0
Total magnetization, μB per atom: 0.000

Record 10
Computed, not measured: a relaxed structure of Ce2GaTc at the PBE-GGA level of DFT.

Cell: 4.1003 4.5326 4.5326 Å, 90.00 90.00 90.00°
Sites, in units of the cell vectors:
Ga (0.5000, 0.0000, 0.0000)
Tc (0.5000, 0.5000, 0.5000)
Ce (0.0000, 0.0000, 0.5000)
Ce (0.0000, 0.5000, 0.0000)

Energy of formation, eV per atom: -0.24
Crystal system: tetragonal
SG: P4/mmm, No. 123
Total magnetization, μB per atom: 0.000

Record 11
Computed, not measured: a relaxed structure of Ce2GaTc at the PBE-GGA level of DFT.

Cell: 3.8330 3.8330 9.7364 Å, 78.65 78.65 60.00°
Sites, in units of the cell vectors:
Ga (0.0000, 0.0000, 0.0000)
Tc (0.5000, 0.5000, 0.5000)
Ce (0.1109, 0.1109, 0.6674)
Ce (0.8891, 0.8891, 0.3326)

Energy of formation, eV per atom: 0.31
Crystal system: trigonal
SG: R-3m, No. 166
Total magnetization, μB per atom: 0.125

Record 12
Computed, not measured: a relaxed structure of Ce8GaTc6 at the PBE-GGA level of DFT.

Cell: 7.2301 7.2301 7.2301 Å, 91.54 91.54 91.54°
Sites, in units of the cell vectors:
Ce (0.7645, 0.7645, 0.7645)
Ce (0.2355, 0.2355, 0.2355)
Ce (0.6207, 0.9436, 0.2807)
Ce (0.9436, 0.2807, 0.6207)
Ce (0.2807, 0.6207, 0.9436)
Ce (0.3793, 0.0564, 0.7193)
Ce (0.0564, 0.7193, 0.3793)
Ce (0.7193, 0.3793, 0.0564)
Ga (0.0000, 0.0000, 0.0000)
Tc (0.6069, 0.4141, 0.7551)
Tc (0.4141, 0.7551, 0.6069)
Tc (0.7551, 0.6069, 0.4141)
Tc (0.3931, 0.5859, 0.2449)
Tc (0.5859, 0.2449, 0.3931)
Tc (0.2449, 0.3931, 0.5859)

Energy of formation, eV per atom: -0.02
Crystal system: trigonal
SG: R-3, No. 148
Total magnetization, μB per atom: 0.000

Record 13
Computed, not measured: a relaxed structure of Ce5GaTc2 at the PBE-GGA level of DFT.

Cell: 5.3587 7.4064 12.9709 Å, 90.00 90.00 111.21°
Sites, in units of the cell vectors:
Ce (0.9652, 0.9303, 0.8638)
Ce (0.9652, 0.9303, 0.6362)
Ce (0.3323, 0.6645, 0.4571)
Ce (0.3323, 0.6645, 0.0429)
Ce (0.8035, 0.6069, 0.2500)
Ce (0.1965, 0.3931, 0.7500)
Ce (0.6677, 0.3355, 0.5429)
Ce (0.6677, 0.3355, 0.9571)
Ce (0.0348, 0.0697, 0.1362)
Ce (0.0348, 0.0697, 0.3638)
Ga (0.7814, 0.5629, 0.7500)
Ga (0.2186, 0.4371, 0.2500)
Tc (0.8623, 0.7247, 0.4387)
Tc (0.8623, 0.7247, 0.0613)
Tc (0.1377, 0.2753, 0.5613)
Tc (0.1377, 0.2753, 0.9387)

Energy of formation, eV per atom: 0.11
Crystal system: orthorhombic
SG: Cmcm, No. 63
Total magnetization, μB per atom: 0.285

Record 14
Computed, not measured: a relaxed structure of CeGa7Tc5 at the PBE-GGA level of DFT.

Cell: 5.2664 6.9036 6.9036 Å, 83.37 67.58 67.58°
Sites, in units of the cell vectors:
Ce (0.0027, 0.9973, 0.9973)
Ga (0.6484, 0.3516, 0.3516)
Ga (0.3449, 0.6551, 0.6551)
Ga (0.9944, 0.3490, 0.6621)
Ga (0.9944, 0.6621, 0.3490)
Ga (0.2720, 0.2280, 0.2280)
Ga (0.5037, 0.8046, 0.1880)
Ga (0.5037, 0.1880, 0.8046)
Tc (0.4935, 0.0072, 0.4967)
Tc (0.0026, 0.0072, 0.4967)
Tc (0.4935, 0.4967, 0.0072)
Tc (0.0026, 0.4967, 0.0072)
Tc (0.7435, 0.7565, 0.7565)

Energy of formation, eV per atom: -0.26
Crystal system: orthorhombic
SG: Imm2, No. 44
Total magnetization, μB per atom: 0.000

Record 15
Computed, not measured: a relaxed structure of Ce3Ga8Tc3 at the PBE-GGA level of DFT.

Cell: 4.4116 8.1638 8.1638 Å, 69.85 74.32 74.32°
Sites, in units of the cell vectors:
Ce (0.5000, 0.5000, 0.5000)
Ce (0.7967, 0.2033, 0.2033)
Ce (0.2033, 0.7967, 0.7967)
Ga (0.6331, 0.0808, 0.6529)
Ga (0.3669, 0.9192, 0.3471)
Ga (0.6331, 0.6529, 0.0808)
Ga (0.3669, 0.3471, 0.9192)
Ga (0.8509, 0.7887, 0.5096)
Ga (0.1491, 0.2113, 0.4904)
Ga (0.8509, 0.5096, 0.7887)
Ga (0.1491, 0.4904, 0.2113)
Tc (0.5000, 0.0000, 0.0000)
Tc (0.0000, 0.8362, 0.1638)
Tc (0.0000, 0.1638, 0.8362)

Energy of formation, eV per atom: -0.45
Crystal system: orthorhombic
SG: Immm, No. 71
Total magnetization, μB per atom: 0.073

Record 16
Computed, not measured: a relaxed structure of CeGa7Tc2 at the PBE-GGA level of DFT.

Cell: 4.7637 8.8454 6.9088 Å, 129.80 90.00 90.00°
Sites, in units of the cell vectors:
Ce (0.0000, 0.0000, 0.0000)
Ga (0.0000, 0.6999, 0.3998)
Ga (0.0000, 0.3001, 0.6002)
Ga (0.5000, 0.6432, 0.7447)
Ga (0.5000, 0.3568, 0.2553)
Ga (0.5000, 0.8985, 0.2553)
Ga (0.5000, 0.1015, 0.7447)
Ga (0.5000, 0.5000, 0.0000)
Tc (0.5000, 0.7343, 0.4687)
Tc (0.5000, 0.2657, 0.5313)

Energy of formation, eV per atom: -0.08
Crystal system: orthorhombic
SG: Cmmm, No. 65
Total magnetization, μB per atom: 0.103

Record 17
Computed, not measured: a relaxed structure of Ce8Ga2Tc3 at the PBE-GGA level of DFT.

Cell: 5.3335 8.8571 8.0511 Å, 123.37 95.28 90.00°
Sites, in units of the cell vectors:
Ce (0.9158, 0.6315, 0.2630)
Ce (0.0842, 0.3685, 0.7370)
Ce (0.0236, 0.1276, 0.2552)
Ce (0.9764, 0.8724, 0.7448)
Ce (0.4891, 0.6070, 0.7934)
Ce (0.4891, 0.1864, 0.7934)
Ce (0.5109, 0.8136, 0.2066)
Ce (0.5109, 0.3930, 0.2066)
Ga (0.5508, 0.2264, 0.4527)
Ga (0.4492, 0.7736, 0.5473)
Tc (0.5000, 0.0000, 0.0000)
Tc (0.0000, 0.2342, 0.0000)
Tc (0.0000, 0.7658, 0.0000)

Energy of formation, eV per atom: -0.10
Crystal system: monoclinic
SG: C2/m, No. 12
Total magnetization, μB per atom: 0.000

Record 18
Computed, not measured: a relaxed structure of Ce3GaTc2 at the PBE-GGA level of DFT.

Cell: 4.7282 8.2398 7.8405 Å, 107.23 107.55 90.00°
Sites, in units of the cell vectors:
Ce (0.2409, 0.1840, 0.4817)
Ce (0.0648, 0.7136, 0.1296)
Ce (0.3800, 0.6253, 0.7600)
Ce (0.7591, 0.8160, 0.5183)
Ce (0.6200, 0.3747, 0.2400)
Ce (0.9352, 0.2864, 0.8704)
Ga (0.4146, 0.0286, 0.8291)
Ga (0.5854, 0.9714, 0.1709)
Tc (0.1563, 0.5225, 0.3125)
Tc (0.8437, 0.4775, 0.6875)
Tc (0.9271, 0.8611, 0.8542)
Tc (0.0729, 0.1389, 0.1458)

Energy of formation, eV per atom: -0.21
Crystal system: monoclinic
SG: C2/m, No. 12
Excess energy over the best structure of this formula in the dataset, kJ/mol of formula units: 28
Total magnetization, μB per atom: 0.084

Record 19
Computed, not measured: a relaxed structure of Ce3GaTc4 at the PBE-GGA level of DFT.

Cell: 6.2565 6.2565 6.2565 Å, 116.27 87.53 126.90°
Sites, in units of the cell vectors:
Ce (0.5633, 0.2262, 0.7896)
Ce (0.9328, 0.0000, 0.9328)
Ce (0.5633, 0.7738, 0.3371)
Ga (0.0173, 0.5000, 0.5173)
Tc (0.2620, 0.6930, 0.9551)
Tc (0.2620, 0.3070, 0.5690)
Tc (0.5408, 0.2657, 0.2750)
Tc (0.0093, 0.7343, 0.2750)

Energy of formation, eV per atom: -0.05
Crystal system: orthorhombic
SG: Imm2, No. 44
Total magnetization, μB per atom: 0.174

Record 20
Computed, not measured: a relaxed structure of Ce4Ga2Tc at the PBE-GGA level of DFT.

Cell: 4.6461 5.8829 5.8829 Å, 96.22 90.00 90.00°
Sites, in units of the cell vectors:
Ga (0.0000, 0.6743, 0.3257)
Ga (0.0000, 0.3257, 0.6743)
Ce (0.0000, 0.8282, 0.8282)
Ce (0.0000, 0.1718, 0.1718)
Ce (0.5000, 0.0000, 0.5000)
Ce (0.5000, 0.5000, 0.0000)
Tc (0.5000, 0.5000, 0.5000)

Energy of formation, eV per atom: -0.28
Crystal system: orthorhombic
SG: Cmmm, No. 65
Excess energy over the best structure of this formula in the dataset, kJ/mol of formula units: 0
Total magnetization, μB per atom: 0.171

Record 21
Computed, not measured: a relaxed structure of Ce3GaTc2 at the PBE-GGA level of DFT.

Cell: 4.5379 4.4205 7.2698 Å, 107.69 108.18 90.00°
Sites, in units of the cell vectors:
Ce (0.5000, 0.5000, 0.0000)
Ce (0.8103, 0.3103, 0.6205)
Ce (0.1897, 0.6897, 0.3795)
Ga (0.0000, 0.0000, 0.0000)
Tc (0.3670, 0.8668, 0.7338)
Tc (0.6330, 0.1332, 0.2662)

Energy of formation, eV per atom: -0.26
Crystal system: orthorhombic
SG: Immm, No. 71
Excess energy over the best structure of this formula in the dataset, kJ/mol of formula units: 0
Total magnetization, μB per atom: 0.000

Record 22
Computed, not measured: a relaxed structure of Ce2GaTc at the PBE-GGA level of DFT.

Cell: 4.3410 5.0488 8.8150 Å, 90.00 104.27 90.00°
Sites, in units of the cell vectors:
Ce (0.2749, 0.2500, 0.5491)
Ce (0.7251, 0.7500, 0.4509)
Ce (0.9157, 0.2500, 0.8308)
Ce (0.0843, 0.7500, 0.1692)
Ga (0.6346, 0.2500, 0.2684)
Ga (0.3654, 0.7500, 0.7316)
Tc (0.5000, 0.0000, 0.0000)
Tc (0.5000, 0.5000, 0.0000)

Energy of formation, eV per atom: -0.17
Crystal system: monoclinic
SG: P2_1/m, No. 11
Total magnetization, μB per atom: 0.226

Record 23
Computed, not measured: a relaxed structure of Ce5Ga2Tc2 at the PBE-GGA level of DFT.

Cell: 7.9865 6.0488 10.2117 Å, 107.23 113.02 90.00°
Sites, in units of the cell vectors:
Ce (0.2962, 0.6192, 0.9545)
Ce (0.7038, 0.6647, 0.0455)
Ce (0.1583, 0.1192, 0.9545)
Ce (0.8417, 0.1647, 0.0455)
Ce (0.2784, 0.1054, 0.3423)
Ce (0.7216, 0.7630, 0.6577)
Ce (0.5639, 0.6054, 0.3423)
Ce (0.4361, 0.2630, 0.6577)
Ce (0.0391, 0.8583, 0.5000)
Ce (0.9609, 0.3583, 0.5000)
Ga (0.1452, 0.5653, 0.2142)
Ga (0.8548, 0.3511, 0.7858)
Ga (0.5690, 0.0653, 0.2142)
Ga (0.4310, 0.8511, 0.7858)
Tc (0.0000, 0.7440, 0.0000)
Tc (0.5000, 0.2440, 0.0000)
Tc (0.2903, 0.6649, 0.5000)
Tc (0.7097, 0.1649, 0.5000)

Energy of formation, eV per atom: -0.20
Crystal system: orthorhombic
SG: Ima2, No. 46
Total magnetization, μB per atom: 0.000